1.
DFT (GGA-PBE) results for a relaxed MgHg8 crystal.

POSCAR file:
```
MgHg8
1.0
-5.192 5.192 2.116
5.192 -5.192 2.116
5.192 5.192 -2.116
Mg Hg
1 8
Direct
0.000 0.000 0.000 Mg
0.000 0.333 0.333 Hg
0.000 0.667 0.667 Hg
0.333 0.000 0.333 Hg
0.339 0.339 0.678 Hg
0.339 0.661 0.000 Hg
0.661 0.339 0.000 Hg
0.661 0.661 0.322 Hg
0.667 0.000 0.667 Hg
```

Values from the calculation:
formation energy: 0.00 eV/atom
crystal system: tetragonal
energy relative to the lowest polymorph listed for this composition: 3.6 meV per atom
theoretical density: 11856 kg/m3
space-group type: I4/mmm
E: -4.05 eV/cell


2.
DFT (GGA-PBE) results for a relaxed Nd2Tm3Se8 crystal.

POSCAR file:
```
Nd2Tm3Se8
1.0
7.211 -4.120 0.000
7.211 4.120 0.000
-2.319 0.000 6.608
Nd Tm Se
2 3 8
Direct
0.240 0.240 0.164 Nd
0.760 0.760 0.836 Nd
0.240 0.760 0.500 Tm
0.500 0.500 0.000 Tm
0.760 0.240 0.500 Tm
0.120 0.120 0.429 Se
0.145 0.619 0.090 Se
0.381 0.855 0.910 Se
0.386 0.386 0.582 Se
0.614 0.614 0.418 Se
0.619 0.145 0.090 Se
0.855 0.381 0.910 Se
0.880 0.880 0.571 Se
```

Values from the calculation:
crystal system: monoclinic
theoretical density: 6035 kg/m3
space-group type: C2/m
E: -73.26 eV/cell


3.
DFT (GGA-PBE) results for a relaxed BaMnAs2Se8 crystal.

POSCAR file:
```
BaMnAs2Se8
1.0
6.392 0.000 0.000
-3.196 5.536 0.000
0.000 0.000 9.312
Ba Mn As Se
1 1 2 8
Direct
0.000 0.000 0.000 Ba
0.000 0.000 0.500 Mn
0.333 0.667 0.721 As
0.667 0.333 0.279 As
0.026 0.721 0.331 Se
0.279 0.305 0.331 Se
0.305 0.026 0.669 Se
0.333 0.667 0.968 Se
0.667 0.333 0.032 Se
0.695 0.974 0.331 Se
0.721 0.695 0.669 Se
0.974 0.279 0.669 Se
```

Values from the calculation:
crystal system: trigonal
theoretical density: 4907 kg/m3
space-group type: P-3
E: -53.18 eV/cell


4.
DFT (GGA-PBE) results for a relaxed Ho8GeSb4Se3 crystal.

POSCAR file:
```
Ho8GeSb4Se3
1.0
4.226 2.440 6.917
-4.226 2.440 6.917
0.000 -4.880 6.917
Ho Ge Sb Se
8 1 4 3
Direct
0.248 0.248 0.248 Ho
0.252 0.742 0.742 Ho
0.258 0.258 0.748 Ho
0.258 0.748 0.258 Ho
0.742 0.252 0.742 Ho
0.742 0.742 0.252 Ho
0.748 0.258 0.258 Ho
0.752 0.752 0.752 Ho
0.500 0.500 0.500 Ge
0.000 0.000 0.000 Sb
0.000 0.500 0.500 Sb
0.500 0.000 0.500 Sb
0.500 0.500 0.000 Sb
0.000 0.000 0.500 Se
0.000 0.500 0.000 Se
0.500 0.000 0.000 Se
```

Values from the calculation:
crystal system: trigonal
theoretical density: 8211 kg/m3
space-group type: R-3m
E: -89.73 eV/cell